Entry 1:
KSb2Cl: optimized geometry, PBE.

Cell and atoms, written as extended XYZ:
```
4
Lattice="6.4297 0.0110 -0.0033 0.8341 6.3754 0.0033 -2.2012 -4.8205 3.6413" Properties=species:S:1:pos:R:3 pbc="T T T"
Sb 4.0243 -0.7255 1.8190
Sb 6.9567 6.1163 0.0000
Cl 3.6210 3.1836 0.0000
K 1.3565 2.5711 1.8223
```

## Properties
crystal system: orthorhombic
ΔE_f (raw): -0.51 eV per atom
total magnetization: 0.0 μB/f.u.
calculated total energy: -13.22 eV per formula unit
symmetry: Imm2 (44)
energy above the most stable polymorph in this dataset: 274.0 meV per atom

=====

Entry 2:
KSbCl2: optimized geometry, PBE.

Cell and atoms, written as extended XYZ:
```
4
Lattice="-2.5467 -1.7166 -2.1639 4.9577 -6.1153 -0.9836 -1.7720 -2.0312 3.6968" Properties=species:S:1:pos:R:3 pbc="T T T"
Sb 1.5928 -4.0733 1.3566
K -2.1594 -1.8739 0.7664
Cl 1.2055 -3.9160 -1.5738
Cl 0.0000 0.0000 0.0000
```

## Properties
crystal system: orthorhombic
ΔE_f (raw): -0.73 eV per atom
total magnetization: 1.1 μB/f.u.
calculated total energy: -11.84 eV per formula unit
symmetry: Pmmm (47)
energy above the most stable polymorph in this dataset: 274.3 meV per atom